RbCa2HgF8: relaxed, PBE.

Summary:
Formation energy (no corrections), eV per atom: -2.7496
Magnetization, μB per cell: 1.05

Lattice parameters (Å, degrees): 4.193 5.741 7.908 90.01 90.00 89.96
Fractional coordinates of all 12 atoms:
F (0.500, 0.748, 0.000)
F (0.000, 0.730, 0.214)
F (0.000, 0.270, 0.786)
F (0.501, 0.702, 0.500)
F (0.500, 0.252, 0.000)
F (0.000, 0.730, 0.786)
F (0.499, 0.298, 0.500)
Ca (0.500, 0.500, 0.767)
F (0.000, 0.270, 0.214)
Hg (0.000, 0.000, 0.000)
Ca (0.500, 0.500, 0.233)
Rb (0.000, 0.000, 0.500)



CsCeSnCl6: relaxed, PBE.

Summary:
Formation energy (no corrections), eV per atom: -1.7333
Magnetization, μB per cell: 2.00

Lattice parameters (Å, degrees): 10.433 9.999 10.280 119.10 120.49 90.00
Fractional coordinates of all 18 atoms:
Cs (0.821, 0.571, 0.643)
Cl (0.577, 0.326, 0.744)
Cl (0.167, 0.326, 0.744)
Cl (0.423, 0.674, 0.256)
Cl (0.423, 0.082, 0.256)
Cl (0.817, 0.067, 0.634)
Cl (0.167, 0.918, 0.744)
Cs (0.179, 0.429, 0.357)
Cl (0.183, 0.933, 0.366)
Cl (0.414, 0.664, 0.827)
Cl (0.577, 0.918, 0.744)
Sn (0.500, 0.500, 0.000)
Ce (0.000, 0.000, 0.500)
Ce (0.500, 0.000, 0.500)
Cl (0.586, 0.336, 0.173)
Cl (0.833, 0.674, 0.256)
Cl (0.833, 0.082, 0.256)
Sn (0.500, 0.000, 0.000)



Pu2AlHg: relaxed, PBE.

Summary:
Magnetization, μB per cell: 0.00
Energy relative to the elements, eV per atom: 0.3385

Lattice parameters (Å, degrees): 5.342 3.649 3.649 90.00 90.00 90.00
Fractional coordinates of all 4 atoms:
Al (0.500, 0.000, 0.000)
Hg (0.500, 0.500, 0.500)
Pu (0.000, 0.000, 0.500)
Pu (0.000, 0.500, 0.000)